# 1
First-principles (PBE) data for crystalline La2Y6Ho3Th at its relaxed geometry, as listed in Alexandria via LeMat-Bulk.

Lattice parameters (Å, degrees): 6.2344 6.2344 11.8299 95.04 95.04 119.96
Fractional positions:
1 La 0.1666 0.8334 0.0000
2 La 0.8334 0.1666 0.0000
3 Y 0.0862 0.4153 0.7477
4 Y 0.2559 0.2559 0.2523
5 Y 0.4153 0.0862 0.7477
6 Y 0.5847 0.9138 0.2523
7 Y 0.7441 0.7441 0.7477
8 Y 0.9138 0.5847 0.2523
9 Ho 0.0000 0.0000 0.5000
10 Ho 0.3332 0.6668 0.5000
11 Ho 0.6668 0.3332 0.5000
12 Th 0.5000 0.5000 0.0000

E_form (eV/atom): 0.03
Calculated density (g/cm³): 6.51
DOS(E_F) (states/eV per cell): 18.25

---

# 2
First-principles (PBE) data for crystalline LaYHo2Th at its relaxed geometry, as listed in Alexandria via LeMat-Bulk.

Lattice parameters (Å, degrees): 3.5343 5.6754 8.7108 90.00 90.00 90.00
Fractional positions:
1 La 0.0000 0.0000 0.0000
2 Y 0.5000 0.0000 0.5000
3 Ho 0.0000 0.5000 0.3216
4 Ho 0.0000 0.5000 0.6784
5 Th 0.5000 0.5000 0.0000

E_form (eV/atom): 0.28
Calculated density (g/cm³): 7.51
DOS(E_F) (states/eV per cell): 8.62

---

# 3
First-principles (PBE) data for crystalline LaYHoTh at its relaxed geometry, as listed in Alexandria via LeMat-Bulk.

Lattice parameters (Å, degrees): 5.7316 5.7316 5.7316 60.00 60.00 60.00
Fractional positions:
1 La 0.0000 0.0000 0.0000
2 Y 0.7500 0.7500 0.7500
3 Ho 0.2500 0.2500 0.2500
4 Th 0.5000 0.5000 0.5000

E_form (eV/atom): 0.12
Calculated density (g/cm³): 7.79
DOS(E_F) (states/eV per cell): 7.26
Energy above the lowest structure with this stoichiometry (eV per formula unit): 0.40

---

# 4
First-principles (PBE) data for crystalline La6YHo2Th at its relaxed geometry, as listed in Alexandria via LeMat-Bulk.

Lattice parameters (Å, degrees): 8.9729 8.9729 9.8649 94.43 94.43 116.37
Fractional positions:
1 La 0.0099 0.5768 0.1896
2 La 0.1035 0.7616 0.5595
3 La 0.2384 0.8965 0.9405
4 La 0.2994 0.5115 0.3795
5 La 0.4232 0.9901 0.3104
6 La 0.4885 0.7006 0.1205
7 La 0.5115 0.2994 0.8795
8 La 0.5768 0.0099 0.6896
9 La 0.7006 0.4885 0.6205
10 La 0.7616 0.1035 0.0595
11 La 0.8965 0.2384 0.4405
12 La 0.9901 0.4232 0.8104
13 Y 0.4074 0.5926 0.7500
14 Y 0.5926 0.4074 0.2500
15 Ho 0.1986 0.2846 0.0515
16 Ho 0.2846 0.1986 0.5515
17 Ho 0.7154 0.8014 0.4485
18 Ho 0.8014 0.7154 0.9485
19 Th 0.0326 0.9674 0.2500
20 Th 0.9674 0.0326 0.7500

E_form (eV/atom): 0.13
Calculated density (g/cm³): 7.00
DOS(E_F) (states/eV per cell): 29.70

---

Q: calculated density of number 4 (La6YHo2Th)?
A: 7.00 g/cm³

---

Q: Among the records above, which one has the highest calculated density?
A: LaYHoTh

---

Copy entry 4 word for word.
First-principles (PBE) data for crystalline La6YHo2Th at its relaxed geometry, as listed in Alexandria via LeMat-Bulk.

Lattice parameters (Å, degrees): 8.9729 8.9729 9.8649 94.43 94.43 116.37
Fractional positions:
1 La 0.0099 0.5768 0.1896
2 La 0.1035 0.7616 0.5595
3 La 0.2384 0.8965 0.9405
4 La 0.2994 0.5115 0.3795
5 La 0.4232 0.9901 0.3104
6 La 0.4885 0.7006 0.1205
7 La 0.5115 0.2994 0.8795
8 La 0.5768 0.0099 0.6896
9 La 0.7006 0.4885 0.6205
10 La 0.7616 0.1035 0.0595
11 La 0.8965 0.2384 0.4405
12 La 0.9901 0.4232 0.8104
13 Y 0.4074 0.5926 0.7500
14 Y 0.5926 0.4074 0.2500
15 Ho 0.1986 0.2846 0.0515
16 Ho 0.2846 0.1986 0.5515
17 Ho 0.7154 0.8014 0.4485
18 Ho 0.8014 0.7154 0.9485
19 Th 0.0326 0.9674 0.2500
20 Th 0.9674 0.0326 0.7500

E_form (eV/atom): 0.13
Calculated density (g/cm³): 7.00
DOS(E_F) (states/eV per cell): 29.70